Ba2NaAgPd: optimized geometry, PBE.

## Properties
Space group ... No. 123
Energy above the most stable polymorph in this dataset ... 0.000 eV per formula unit
Spin magnetization ... 0.000 μB/f.u.

a b c (Å): 6.1516 6.1516 5.3238
angles (deg): 90.00 90.00 90.00
Closest atoms and distances in Å follow each position.
Element x y z (fractional)
Ba: 0.0000 0.5000 0.0000  2 Pd 3.08
Ba: 0.5000 0.0000 0.0000  2 Pd 3.08
Na: 0.0000 0.0000 0.5000  8 Ba 4.07, 4 Ag 4.35
Ag: 0.5000 0.5000 0.5000  2 Pd 2.66
Pd: 0.5000 0.5000 0.0000  2 Ag 2.66

=====

KPtI2: optimized geometry, PBE.

## Properties
Space group ... No. 166
Energy above the most stable polymorph in this dataset ... 1.296 eV per formula unit
Spin magnetization ... 0.004 μB/f.u.

a b c (Å): 9.8099 9.8099 9.8099
angles (deg): 25.65 25.65 25.65
Closest atoms and distances in Å follow each position.
Element x y z (fractional)
K: 0.0000 0.0000 0.0000  2 I 3.33
Pt: 0.5000 0.5000 0.5000  6 I 2.89
I: 0.1170 0.1170 0.1170  3 Pt 2.89
I: 0.8830 0.8830 0.8830  3 Pt 2.89

=====

> spin magnetization of number 2 (KPtI2)?

0.004 μB/f.u.

=====

> The highest energy above the most stable polymorph in this dataset belongs to which entry?

KPtI2

=====

> What is the formula in the first record?

Ba2NaAgPd

=====

> Among the records above, which one has the lowest spin magnetization?

Ba2NaAgPd